Entry 1:
The following is a DFT calculation (PBE) of crystalline Tm3TlAg at its relaxed geometry.

The structure belongs to space group P1 (No. 1); the cell edges are 3.601, 8.547 and 9.404 Å and the angles 70.44°, 89.90° and 89.83°. The asymmetric unit holds Tm at (0.000, 0.000, 0.000), Tm at (0.001, 0.438, 0.915), Tm at (0.004, 0.418, 0.300), Tm at (0.006, 0.878, 0.684), Tm at (0.497, 0.825, 0.335), Tm at (0.500, 0.243, 0.688), Tl at (0.501, 0.687, 0.031), Tl at (0.995, 0.568, 0.566), Ag at (0.501, 0.205, 0.131) and Ag at (0.507, 0.111, 0.445).

For the energy above the most stable polymorph in this dataset, the calculation gives 93 meV/atom. The value obtained for the total magnetic moment is 0.000 μB/atom. The total DFT energy (no corrections) comes out at -3.874 eV per atom. The volume comes out at 27.27 A^3/atom. The value obtained for the density of states at the Fermi level is 7.9 states/eV per cell.



Entry 2:
The following is a DFT calculation (PBE) of crystalline Tm3Tl2Ag2 at its relaxed geometry.

The structure belongs to space group Cmmm (No. 65); the cell edges are 4.534, 21.789 and 3.452 Å and the angles 90.00°, 90.00° and 90.00°. The asymmetric unit holds Tm at (0.000, 0.000, 0.000), Tm at (0.000, 0.162, 0.000), Tl at (0.000, 0.422, 0.500) and Ag at (0.000, 0.285, 0.500).

The value obtained for the total magnetic moment is 0.017 μB/atom. The total DFT energy (no corrections) comes out at -3.678 eV per atom. The volume comes out at 24.36 A^3/atom. The value obtained for the density of states at the Fermi level is 9.0 states/eV per cell.